A relaxed structure of SrPuCu2Se4, computed with GGA-PBE.

Formation energy without anion corrections: -0.89 eV per atom
VASP energy: -45.29 eV/cell
Total magnetization: 5.0 μB/f.u.

Lattice parameters (Å, degrees): 6.314 6.314 6.314 113.05 113.05 102.53
Positions (direct):
Sr 0.000 0.000 0.000
Pu 0.500 0.500 0.000
Cu 0.250 0.750 0.500
Cu 0.750 0.250 0.500
Se 0.020 0.501 0.000
Se 0.499 0.499 0.519
Se 0.501 0.020 0.000
Se 0.980 0.980 0.481

A relaxed structure of PuCuTeSe, computed with GGA-PBE.

Formation energy without anion corrections: -0.70 eV per atom
VASP energy: -55.71 eV/cell
Total magnetization: 5.0 μB/f.u.

Lattice parameters (Å, degrees): 4.540 4.540 8.992 90.00 90.00 90.00
Positions (direct):
Pu 0.250 0.250 0.196
Pu 0.750 0.750 0.804
Cu 0.250 0.750 0.500
Cu 0.750 0.250 0.500
Te 0.250 0.250 0.662
Te 0.750 0.750 0.338
Se 0.250 0.750 0.000
Se 0.750 0.250 0.000

A relaxed structure of PuTl3Cu2Se6, computed with GGA-PBE.

Formation energy without anion corrections: -0.45 eV per atom
VASP energy: -55.87 eV/cell
Total magnetization: 3.5 μB/f.u.

Lattice parameters (Å, degrees): 6.643 6.643 8.189 101.54 101.54 111.08
Positions (direct):
Pu 0.000 0.000 0.000
Tl 0.151 0.849 0.500
Tl 0.500 0.500 0.500
Tl 0.849 0.151 0.500
Cu 0.326 0.674 0.000
Cu 0.674 0.326 0.000
Se 0.018 0.383 0.218
Se 0.306 0.306 0.843
Se 0.383 0.018 0.218
Se 0.617 0.982 0.782
Se 0.694 0.694 0.157
Se 0.982 0.617 0.782

A relaxed structure of PuTl2CuSe4, computed with GGA-PBE.

Formation energy without anion corrections: -0.59 eV per atom
VASP energy: -41.84 eV/cell
Total magnetization: 3.9 μB/f.u.

Lattice parameters (Å, degrees): 7.141 3.959 8.217 90.00 109.40 90.00
Positions (direct):
Pu 0.000 0.000 0.000
Tl 0.000 0.500 0.500
Tl 0.500 0.000 0.500
Cu 0.500 0.500 0.000
Se 0.217 0.500 0.220
Se 0.300 0.000 0.833
Se 0.700 0.000 0.167
Se 0.783 0.500 0.780

A relaxed structure of Pu3Tl4CuSe8, computed with GGA-PBE.

Formation energy without anion corrections: -0.85 eV per atom
VASP energy: -98.09 eV/cell
Total magnetization: 13.0 μB/f.u.

Lattice parameters (Å, degrees): 9.072 9.072 9.072 54.35 54.35 54.35
Positions (direct):
Pu 0.000 0.500 0.500
Pu 0.500 0.000 0.500
Pu 0.500 0.500 0.000
Tl 0.000 0.000 0.500
Tl 0.000 0.500 0.000
Tl 0.500 0.000 0.000
Tl 0.500 0.500 0.500
Cu 0.000 0.000 0.000
Se 0.228 0.228 0.740
Se 0.228 0.740 0.228
Se 0.260 0.772 0.772
Se 0.265 0.265 0.265
Se 0.735 0.735 0.735
Se 0.740 0.228 0.228
Se 0.772 0.260 0.772
Se 0.772 0.772 0.260

A relaxed structure of Pu4TlCu3Se12, computed with GGA-PBE.

Formation energy without anion corrections: -0.65 eV per atom
VASP energy: -126.86 eV/cell
Total magnetization: 17.6 μB/f.u.

Lattice parameters (Å, degrees): 8.865 8.865 8.865 109.47 109.47 109.47
Positions (direct):
Pu 0.000 0.000 0.500
Pu 0.000 0.500 0.000
Pu 0.500 0.000 0.000
Pu 0.500 0.500 0.500
Tl 0.000 0.000 0.000
Cu 0.000 0.500 0.500
Cu 0.500 0.000 0.500
Cu 0.500 0.500 0.000
Se 0.162 0.489 0.327
Se 0.162 0.835 0.673
Se 0.165 0.327 0.838
Se 0.327 0.162 0.489
Se 0.327 0.838 0.165
Se 0.489 0.327 0.162
Se 0.511 0.673 0.838
Se 0.673 0.162 0.835
Se 0.673 0.838 0.511
Se 0.835 0.673 0.162
Se 0.838 0.165 0.327
Se 0.838 0.511 0.673